VASP calculation (GGA-PBE) on a geometry-optimized Ce2Er2Os3 structure.

Unit cell a=10.8184 b=4.7735 c=6.8705 alpha=90.00 beta=99.24 gamma=90.00
Last column: nearest neighbours and their distance in Å.
Space group C2/m (No. 12)
Symmetry-distinct sites (fractional):
Ce  0.1326  0.0000  0.3708 x4  1 Os 2.38
Er  0.1415  0.5000  0.9355 x4  5 Os 2.84-2.91
Os  0.0000  0.0000  0.0000 x2  2 Ce 2.72, 2 Os 2.84, 4 Er 2.91
Os  0.1675  0.0000  0.7214 x4  1 Ce 2.38

Values from the calculation:
N(E_F) ... 0.79 states/eV per atom
Calculated formation energy ... -118 meV/atom